GGA-PBE UGaCo2Ge2, relaxed; total magnetic moment = 3.9 μB/cell; energy relative to the elements = 161 meV/atom
1.0
4.307 0.000 0.000
0.000 4.307 0.000
0.000 0.000 5.557
U Ga Co Ge
1 1 2 2
Direct
0.000 0.000 0.000
0.000 0.000 0.500
0.000 0.500 0.500
0.500 0.000 0.500
0.500 0.500 0.240
0.500 0.500 0.760

=====

GGA-PBE Y2Ga2Co5Ge, relaxed; total magnetic moment = 0.0 μB/cell; energy relative to the elements = -226 meV/atom
1.0
9.474 0.000 0.000
0.000 9.474 0.000
0.000 0.000 3.318
Y Ga Co Ge
4 4 10 2
Direct
0.174 0.326 0.000
0.326 0.826 0.000
0.674 0.174 0.000
0.826 0.674 0.000
0.124 0.624 0.000
0.376 0.124 0.000
0.624 0.876 0.000
0.876 0.376 0.000
0.000 0.500 0.500
0.061 0.801 0.500
0.199 0.061 0.500
0.301 0.561 0.500
0.439 0.301 0.500
0.500 0.000 0.500
0.561 0.699 0.500
0.699 0.439 0.500
0.801 0.939 0.500
0.939 0.199 0.500
0.000 0.000 0.000
0.500 0.500 0.000

=====

no.,calculated total energy (eV/atom)
1,-6.133
2,-6.139